Here is a geometry-optimized Pm2Sm7Y2 structure from Alexandria. Energies are from PBE-GGA.

Geometry as CIF:
```
data_Pm2Sm7Y2
_cell_length_a 8.5647
_cell_length_b 11.0205
_cell_length_c 8.2724
_cell_angle_alpha 90.00
_cell_angle_beta 105.72
_cell_angle_gamma 90.00
_symmetry_space_group_name_H-M 'C 1 2/m 1'
_symmetry_Int_Tables_number 12
loop_
_symmetry_equiv_pos_as_xyz
'x,y,z'
'-x,-y,-z'
'-x,y,-z'
'x,-y,z'
'x+1/2,y+1/2,z'
'-x+1/2,-y+1/2,-z'
'-x+1/2,y+1/2,-z'
'x+1/2,-y+1/2,z'
loop_
_atom_site_label
_atom_site_type_symbol
_atom_site_fract_x
_atom_site_fract_y
_atom_site_fract_z
_atom_site_occupancy
Pm1 Pm 0.0000 0.2154 0.0000 1
Sm1 Sm 0.0000 0.5000 0.5000 1
Sm2 Sm 0.0782 0.0000 0.3185 1
Sm3 Sm 0.1981 0.2065 0.6674 1
Y1 Y 0.1932 0.5000 0.9718 1
```

Calculated values
* energy above the lowest structure with this stoichiometry: 0.48 eV/f.u.
* mass density: 6.7 g/cm³

***

Here is a geometry-optimized Pm5SmY3 structure from Alexandria. Energies are from PBE-GGA.

Geometry as CIF:
```
data_Pm5SmY3
_cell_length_a 16.9662
_cell_length_b 8.2104
_cell_length_c 12.4892
_cell_angle_alpha 90.00
_cell_angle_beta 131.30
_cell_angle_gamma 90.00
_symmetry_space_group_name_H-M 'C 1 2/m 1'
_symmetry_Int_Tables_number 12
loop_
_symmetry_equiv_pos_as_xyz
'x,y,z'
'-x,-y,-z'
'-x,y,-z'
'x,-y,z'
'x+1/2,y+1/2,z'
'-x+1/2,-y+1/2,-z'
'-x+1/2,y+1/2,-z'
'x+1/2,-y+1/2,z'
loop_
_atom_site_label
_atom_site_type_symbol
_atom_site_fract_x
_atom_site_fract_y
_atom_site_fract_z
_atom_site_occupancy
Pm1 Pm 0.0000 0.1828 0.0000 1
Pm2 Pm 0.0634 0.2988 0.7762 1
Pm3 Pm 0.1326 0.5000 0.5728 1
Pm4 Pm 0.1947 0.0000 0.0631 1
Sm1 Sm 0.2373 0.5000 0.1282 1
Y1 Y 0.0000 0.0000 0.5000 1
Y2 Y 0.0000 0.5000 0.0000 1
Y3 Y 0.1109 0.0000 0.3120 1
Y4 Y 0.1818 0.5000 0.3434 1
```

Calculated values
* energy above the lowest structure with this stoichiometry: 2.15 eV/f.u.
* mass density: 5.8 g/cm³

***

Here is a geometry-optimized PmSmY3 structure from Alexandria. Energies are from PBE-GGA.

Geometry as CIF:
```
data_PmSmY3
_cell_length_a 11.3791
_cell_length_b 5.0885
_cell_length_c 11.3714
_cell_angle_alpha 90.00
_cell_angle_beta 90.20
_cell_angle_gamma 90.00
_symmetry_space_group_name_H-M 'C 1 2/m 1'
_symmetry_Int_Tables_number 12
loop_
_symmetry_equiv_pos_as_xyz
'x,y,z'
'-x,-y,-z'
'-x,y,-z'
'x,-y,z'
'x+1/2,y+1/2,z'
'-x+1/2,-y+1/2,-z'
'-x+1/2,y+1/2,-z'
'x+1/2,-y+1/2,z'
loop_
_atom_site_label
_atom_site_type_symbol
_atom_site_fract_x
_atom_site_fract_y
_atom_site_fract_z
_atom_site_occupancy
Pm1 Pm 0.1505 0.0000 0.4498 1
Sm1 Sm 0.1502 0.5000 0.9501 1
Y1 Y 0.0494 0.5000 0.6503 1
Y2 Y 0.0500 0.0000 0.1494 1
Y3 Y 0.2495 0.0000 0.7506 1
```

Calculated values
* energy above the lowest structure with this stoichiometry: 0.00 eV/f.u.
* mass density: 5.7 g/cm³

***

Here is a geometry-optimized Pm3Sm3Y5 structure from Alexandria. Energies are from PBE-GGA.

Geometry as CIF:
```
data_Pm3Sm3Y5
_cell_length_a 9.7730
_cell_length_b 9.7730
_cell_length_c 5.4327
_cell_angle_alpha 90.00
_cell_angle_beta 90.00
_cell_angle_gamma 120.00
_symmetry_space_group_name_H-M 'P -6 2 m'
_symmetry_Int_Tables_number 189
_symmetry_space_group_name_Hall 'P -6 -2'
loop_
_atom_site_label
_atom_site_type_symbol
_atom_site_fract_x
_atom_site_fract_y
_atom_site_fract_z
_atom_site_occupancy
Pm1 Pm 0.0000 0.5785 0.0000 1
Sm1 Sm 0.0000 0.7331 0.5000 1
Y1 Y 0.0000 0.3652 0.5000 1
Y2 Y 0.3333 0.6667 0.5000 1
```

Calculated values
* energy above the lowest structure with this stoichiometry: 0.00 eV/f.u.
* mass density: 4.9 g/cm³

***

Here is a geometry-optimized Pm2SmY7 structure from Alexandria. Energies are from PBE-GGA.

Geometry as CIF:
```
data_Pm2SmY7
_cell_length_a 8.7544
_cell_length_b 16.4169
_cell_length_c 5.5484
_cell_angle_alpha 90.00
_cell_angle_beta 90.00
_cell_angle_gamma 90.00
_symmetry_space_group_name_H-M 'C m m m'
_symmetry_Int_Tables_number 65
_symmetry_space_group_name_Hall '-C 2 2'
loop_
_atom_site_label
_atom_site_type_symbol
_atom_site_fract_x
_atom_site_fract_y
_atom_site_fract_z
_atom_site_occupancy
Pm1 Pm 0.0000 0.2029 0.0000 1
Sm1 Sm 0.0000 0.5000 0.5000 1
Y1 Y 0.0000 0.0000 0.0000 1
Y2 Y 0.0000 0.2846 0.5000 1
Y3 Y 0.1775 0.3866 0.0000 1
```

Calculated values
* energy above the lowest structure with this stoichiometry: 6.73 eV/f.u.
* mass density: 4.4 g/cm³

***

Here is a geometry-optimized PmSm8Y2 structure from Alexandria. Energies are from PBE-GGA.

Geometry as CIF:
```
data_PmSm8Y2
_cell_length_a 18.4481
_cell_length_b 5.1212
_cell_length_c 8.1002
_cell_angle_alpha 90.00
_cell_angle_beta 105.26
_cell_angle_gamma 90.00
_symmetry_space_group_name_H-M 'C 1 2/m 1'
_symmetry_Int_Tables_number 12
loop_
_symmetry_equiv_pos_as_xyz
'x,y,z'
'-x,-y,-z'
'-x,y,-z'
'x,-y,z'
'x+1/2,y+1/2,z'
'-x+1/2,-y+1/2,-z'
'-x+1/2,y+1/2,-z'
'x+1/2,-y+1/2,z'
loop_
_atom_site_label
_atom_site_type_symbol
_atom_site_fract_x
_atom_site_fract_y
_atom_site_fract_z
_atom_site_occupancy
Pm1 Pm 0.0000 0.0000 0.0000 1
Sm1 Sm 0.0457 0.5000 0.7269 1
Sm2 Sm 0.0911 0.0000 0.4550 1
Sm3 Sm 0.1368 0.5000 0.1829 1
Sm4 Sm 0.1820 0.0000 0.9095 1
Y1 Y 0.2273 0.5000 0.6359 1
```

Calculated values
* energy above the lowest structure with this stoichiometry: 0.00 eV/f.u.
* mass density: 6.9 g/cm³

***

Here is a geometry-optimized Pm7Sm3Y2 structure from Alexandria. Energies are from PBE-GGA.

Geometry as CIF:
```
data_Pm7Sm3Y2
_cell_length_a 6.4841
_cell_length_b 3.5799
_cell_length_c 17.7628
_cell_angle_alpha 90.00
_cell_angle_beta 96.04
_cell_angle_gamma 90.00
_symmetry_space_group_name_H-M 'P 1 2/m 1'
_symmetry_Int_Tables_number 10
loop_
_symmetry_equiv_pos_as_xyz
'x,y,z'
'-x,-y,-z'
'-x,y,-z'
'x,-y,z'
loop_
_atom_site_label
_atom_site_type_symbol
_atom_site_fract_x
_atom_site_fract_y
_atom_site_fract_z
_atom_site_occupancy
Pm1 Pm 0.0000 0.0000 0.0000 1
Pm2 Pm 0.2238 0.5000 0.1690 1
Pm3 Pm 0.2567 0.5000 0.4970 1
Pm4 Pm 0.2734 0.0000 0.8329 1
Sm1 Sm 0.4514 0.0000 0.3395 1
Sm2 Sm 0.5000 0.5000 0.0000 1
Y1 Y 0.0575 0.5000 0.6705 1
```

Calculated values
* energy above the lowest structure with this stoichiometry: 0.00 eV/f.u.
* mass density: 6.7 g/cm³

***

Here is a geometry-optimized Pm7Sm4Y structure from Alexandria. Energies are from PBE-GGA.

Geometry as CIF:
```
data_Pm7Sm4Y
_cell_length_a 6.3480
_cell_length_b 7.3320
_cell_length_c 9.0609
_cell_angle_alpha 89.97
_cell_angle_beta 76.49
_cell_angle_gamma 90.00
_symmetry_space_group_name_H-M 'P -1'
_symmetry_Int_Tables_number 2
loop_
_symmetry_equiv_pos_as_xyz
'x,y,z'
'-x,-y,-z'
loop_
_atom_site_label
_atom_site_type_symbol
_atom_site_fract_x
_atom_site_fract_y
_atom_site_fract_z
_atom_site_occupancy
Pm1 Pm 0.0000 0.0000 0.0000 1
Pm2 Pm 0.2224 0.5000 0.3334 1
Pm3 Pm 0.2782 0.2496 0.6677 1
Pm4 Pm 0.5001 0.2496 0.0001 1
Sm1 Sm 0.2220 0.0000 0.3327 1
Sm2 Sm 0.2781 0.7501 0.6681 1
Y1 Y 0.0000 0.5000 0.0000 1
```

Calculated values
* energy above the lowest structure with this stoichiometry: 0.00 eV/f.u.
* mass density: 6.9 g/cm³

***

For reference, N(E_F) by record: 35.00, 51.89, 29.15, 19.75, 30.12, 32.68, 18.43, 15.33 states/eV per cell.
For reference, energy of formation from the pure elements by record: 0.143, 0.403, 0.018, 0.768, 0.689, 0.016, 0.073, 0.009 eV per atom.
For reference, total moment by record: 0.0, 0.0, 0.0, 0.0, 0.0, 0.0, 0.0, 0.0 Bohr magnetons per cell.